{"formula": "BeMoRu2O", "functional": "PBE with a Hubbard U", "state": "optimized geometry", "lattice_angstrom": [[4.0172, 0.0000, 0.0000], [0.0000, 4.7417, 0.0000], [0.0000, 0.0000, 4.0172]], "species": ["Ru", "Ru", "Mo", "O", "Be"], "fractional_positions": [[0.0000, 0.0000, 0.5000], [0.5000, 0.0000, 0.0000], [0.0000, 0.5000, 0.0000], [0.5000, 0.5000, 0.5000], [0.0000, 0.0000, 0.0000]], "e_tot_ev_per_fu": -27.85, "n_ef_per_ev_cell": 3.51}